Below is TeMo2 after structural relaxation, with properties calculated at the GGA-PBE level.

POSCAR file:
```
TeMo2
1.0
-2.228 2.228 10.892
2.228 -2.228 10.892
2.228 2.228 -10.892
Te Mo
4 8
direct
0.302 0.552 0.750
0.448 0.698 0.750
0.552 0.302 0.250
0.698 0.448 0.250
0.033 0.783 0.250
0.126 0.376 0.750
0.217 0.967 0.250
0.376 0.126 0.250
0.624 0.874 0.750
0.783 0.033 0.750
0.874 0.624 0.250
0.967 0.217 0.750
```

formation energy without anion corrections: 0.522 eV per atom
energy above the lowest structure with this stoichiometry: 1.44 eV/f.u.
space group: I4_1/amd (141)
total energy: -7.746 eV per atom